5
Lattice="5.302 0.000 0.000 0.000 4.282 0.000 0.000 0.000 5.302" Properties=species:S:1:pos:R:3 comment="Ti2SnBiF (PBE-GGA, relaxed)" n_ef_per_ev_cell=8.89 final_energy_ev_per_atom=-5.1380 rho_g_cm3=6.102 total_magnetization_mub_per_atom=0.414 pbc="T T T"
Bi 2.651 2.141 2.651
Ti 2.651 0.000 0.000
F 0.000 2.141 0.000
Ti 0.000 0.000 2.651
Sn 0.000 0.000 0.000